Computed, not measured: Zr2V2Ge after structural relaxation at the PBE level of DFT.

Lattice parameters (Å, degrees): 4.0197 4.0197 12.0796 90.00 90.00 90.00
Closest atoms and distances in Å follow each position.
Sites, in units of the cell vectors:
1 Zr 0.0000 0.5000 0.2500  4 Zr 2.84, 4 V 2.87
2 Zr 0.0000 0.5000 0.7500  4 Zr 2.84, 4 V 2.87
3 Zr 0.5000 0.0000 0.2500  4 Zr 2.84, 4 V 2.87
4 Zr 0.5000 0.0000 0.7500  4 Zr 2.84, 4 V 2.87
5 V 0.0000 0.0000 0.0804  1 V 1.94
6 V 0.0000 0.0000 0.9196  1 V 1.94
7 V 0.5000 0.5000 0.4196  1 V 1.94
8 V 0.5000 0.5000 0.5804  1 V 1.94
9 Ge 0.0000 0.0000 0.5000  8 V 3.00
10 Ge 0.5000 0.5000 0.0000  8 V 3.00

Results
DFT formation energy, eV/atom: 0.68
E_tot, Ry/atom: -0.537
Energy above the most stable polymorph in this dataset, meV/atom: 793

***

Computed, not measured: Zr2VGe after structural relaxation at the PBE level of DFT.

Lattice parameters (Å, degrees): 4.4925 4.4925 3.6315 90.00 90.00 90.00
Closest atoms and distances in Å follow each position.
Sites, in units of the cell vectors:
1 Zr 0.0000 0.5000 0.0000  4 Ge 2.89, 4 V 2.89, 4 Zr 3.18
2 Zr 0.5000 0.0000 0.0000  4 Ge 2.89, 4 V 2.89, 4 Zr 3.18
3 V 0.0000 0.0000 0.5000  8 Zr 2.89, 4 Ge 3.18
4 Ge 0.5000 0.5000 0.5000  8 Zr 2.89, 4 V 3.18

Results
DFT formation energy, eV/atom: -0.28
E_tot, Ry/atom: -0.587

***

Computed, not measured: ZrV2Ge after structural relaxation at the PBE level of DFT.

Lattice parameters (Å, degrees): 7.2904 7.2904 5.2763 90.00 90.00 90.00
Closest atoms and distances in Å follow each position.
Sites, in units of the cell vectors:
1 Zr 0.0000 0.0000 0.0000  2 Ge 2.64, 4 V 2.86
2 Zr 0.0000 0.5000 0.2500  2 Ge 2.64, 4 V 2.86
3 Zr 0.5000 0.0000 0.7500  2 Ge 2.64, 4 V 2.86
4 Zr 0.5000 0.5000 0.5000  2 Ge 2.64, 4 V 2.86
5 V 0.2109 0.2500 0.6250  2 Ge 2.47, 2 V 2.70
6 V 0.2500 0.7109 0.8750  2 Ge 2.47, 2 V 2.70
7 V 0.2500 0.7891 0.3750  2 Ge 2.47, 2 V 2.70
8 V 0.2891 0.2500 0.1250  2 Ge 2.47, 2 V 2.70
9 V 0.7109 0.7500 0.1250  2 Ge 2.47, 2 V 2.70
10 V 0.7500 0.2109 0.3750  2 Ge 2.47, 2 V 2.70
11 V 0.7500 0.2891 0.8750  2 Ge 2.47, 2 V 2.70
12 V 0.7891 0.7500 0.6250  2 Ge 2.47, 2 V 2.70
13 Ge 0.0000 0.0000 0.5000  4 V 2.47, 2 Zr 2.64
14 Ge 0.0000 0.5000 0.7500  4 V 2.47, 2 Zr 2.64
15 Ge 0.5000 0.0000 0.2500  4 V 2.47, 2 Zr 2.64
16 Ge 0.5000 0.5000 0.0000  4 V 2.47, 2 Zr 2.64

Results
DFT formation energy, eV/atom: 0.32
E_tot, Ry/atom: -0.553